Model a:
The following is a PBE calculation of a geometry-optimized NdHo2Tm9 structure, from the Alexandria database.

As for the crystal system: hexagonal. The size of the total moment comes out at 0.00 μB/cell.

The structure belongs to space group P6/mmm (No. 191); the cell edges are 11.0837, 11.0837 and 3.4835 Å and the angles 90.00°, 90.00° and 120.00°. The inequivalent atoms are Nd at (0.0000, 0.0000, 0.0000), Ho at (0.3333, 0.6667, 0.0000), Tm at (0.0000, 0.5000, 0.0000) and Tm at (0.1786, 0.3573, 0.5000).


Model b:
The following is a PBE calculation of a geometry-optimized NdHo2Tm9 structure, from the Alexandria database.

As for the crystal system: tetragonal. The size of the total moment comes out at 0.00 μB/cell.

The structure belongs to space group P4/mmm (No. 123); the cell edges are 4.9630, 4.9630 and 14.8867 Å and the angles 90.00°, 90.00° and 90.00°. The inequivalent atoms are Nd at (0.0000, 0.0000, 0.0000), Ho at (0.0000, 0.0000, 0.3342), Tm at (0.0000, 0.5000, 0.1690), Tm at (0.0000, 0.5000, 0.5000), Tm at (0.5000, 0.5000, 0.0000) and Tm at (0.5000, 0.5000, 0.3349).


model b (16 meV per atom below the next structure)


Model a:
The following is a PBE calculation of a geometry-optimized NdHo5Tm structure, from the Alexandria database.

As for the crystal system: monoclinic. The size of the total moment comes out at 0.00 μB/cell.

The structure belongs to space group P2_1/m (No. 11); the cell edges are 9.2474, 3.5847 and 13.8231 Å and the angles 90.00°, 103.41° and 90.00°. The inequivalent atoms are Nd at (0.1050, 0.2500, 0.1255), Ho at (0.0025, 0.7500, 0.3759), Ho at (0.2053, 0.2500, 0.8814), Ho at (0.3274, 0.2500, 0.5094), Ho at (0.3491, 0.7500, 0.7226), Ho at (0.4160, 0.7500, 0.0796) and Tm at (0.3460, 0.7500, 0.3062).


Model b:
The following is a PBE calculation of a geometry-optimized NdHo5Tm structure, from the Alexandria database.

As for the crystal system: orthorhombic. The size of the total moment comes out at 0.00 μB/cell.

The structure belongs to space group Immm (No. 71); the cell edges are 5.7489, 8.5906 and 11.9093 Å and the angles 90.00°, 90.00° and 90.00°. The inequivalent atoms are Nd at (0.0000, 0.0000, 0.0000), Ho at (0.0000, 0.0000, 0.2446), Ho at (0.0000, 0.3231, 0.0000), Ho at (0.0000, 0.5000, 0.5000) and Tm at (0.0000, 0.0000, 0.5000).


model a (1039 meV per atom below the next structure)